No. 1
Computed, not measured: a relaxed structure of PrNd4Sm6 at the PBE-GGA level of DFT.

Cell lengths 9.862, 9.862, 9.862 Å; angles 57.87, 139.99, 139.99 degrees
Element x y z (fractional)
1 Sm 0.500 0.500 0.000
2 Pr 0.000 0.000 0.000
3 Nd 0.000 0.013 0.632
4 Nd 0.620 0.987 0.987
5 Sm 0.000 0.802 0.448
6 Sm 0.354 0.552 0.552
7 Nd 0.000 0.632 0.013
8 Sm 0.000 0.448 0.802
9 Sm 0.646 0.198 0.198
10 Nd 0.380 0.368 0.368
11 Sm 0.500 0.000 0.500

Computed properties:
- ΔE_f (eV per atom) = 0.292
- energy above the lowest structure with this stoichiometry (meV per atom) = 136.8
- calculated total energy (Ha/atom) = -0.164
- space group = No. 121

=====

No. 2
Computed, not measured: a relaxed structure of RbInSi at the PBE-GGA level of DFT.

Cell lengths 3.768, 8.630, 8.630 Å; angles 48.66, 90.00, 90.00 degrees
Element x y z (fractional)
1 In 0.000 0.751 0.533
2 Si 0.000 0.383 0.617
3 Rb 0.500 0.953 0.768
4 Si 0.500 0.610 0.390
5 In 0.000 0.467 0.249
6 Rb 0.500 0.232 0.047

Computed properties:
- calculated total energy (Ha/atom) = -0.110
- raw formation energy (eV/atom) = 0.050
- space group = No. 38

=====

No. 3
Computed, not measured: a relaxed structure of Li2CaAg6 at the PBE-GGA level of DFT.

Cell lengths 4.916, 4.916, 9.735 Å; angles 90.00, 90.00, 120.00 degrees
Element x y z (fractional)
1 Ag 0.335 0.000 0.730
2 Ag 0.335 0.335 0.270
3 Ag 0.665 0.665 0.730
4 Li 0.333 0.667 0.500
5 Ca 0.000 0.000 0.000
6 Ag 0.665 0.000 0.270
7 Ag 0.000 0.665 0.270
8 Li 0.667 0.333 0.500
9 Ag 0.000 0.335 0.730

Computed properties:
- ΔE_f (eV per atom) = -0.015
- energy above the lowest structure with this stoichiometry (meV per atom) = 111.6
- calculated total energy (Ha/atom) = -0.094
- space group = No. 162

=====

No. 4
Computed, not measured: a relaxed structure of TbMg2Sc4 at the PBE-GGA level of DFT.

Cell lengths 6.217, 6.217, 6.217 Å; angles 103.44, 103.44, 122.35 degrees
Element x y z (fractional)
1 Sc 0.803 0.803 0.607
2 Mg 0.250 0.750 0.500
3 Sc 0.197 0.197 0.393
4 Sc 0.197 0.803 0.000
5 Tb 0.500 0.500 0.000
6 Mg 0.750 0.250 0.500
7 Sc 0.803 0.197 0.000

Computed properties:
- ΔE_f (eV per atom) = 0.123
- energy above the lowest structure with this stoichiometry (meV per atom) = 87.7
- calculated total energy (Ha/atom) = -0.169
- space group = No. 139

=====

No. 5
Computed, not measured: a relaxed structure of PrHo2CdPd4 at the PBE-GGA level of DFT.

Cell lengths 4.911, 4.911, 8.582 Å; angles 73.37, 73.37, 60.00 degrees
Element x y z (fractional)
1 Pd 0.381 0.381 0.858
2 Pd 0.877 0.877 0.368
3 Cd 0.500 0.500 0.500
4 Pr 0.000 0.000 0.000
5 Pd 0.123 0.123 0.632
6 Ho 0.758 0.758 0.725
7 Pd 0.619 0.619 0.142
8 Ho 0.242 0.242 0.275

Computed properties:
- ΔE_f (eV per atom) = -0.751
- calculated total energy (Ha/atom) = -0.191
- space group = No. 166

=====

No. 6
Computed, not measured: a relaxed structure of TmNi4Au at the PBE-GGA level of DFT.

Cell lengths 4.908, 4.908, 4.908 Å; angles 60.00, 60.00, 60.00 degrees
Site moments in Bohr magnetons follow the coordinates.
Element x y z (fractional)
1 Ni 0.625 0.126 0.625  0.11
2 Ni 0.625 0.625 0.625  0.11
3 Ni 0.126 0.625 0.625  0.11
4 Ni 0.625 0.625 0.126  0.11
5 Au 0.250 0.250 0.250  0.00
6 Tm 0.000 0.000 0.000  -0.03

Computed properties:
- ΔE_f (eV per atom) = -0.408
- calculated total energy (Ha/atom) = -0.204
- space group = No. 216

=====

No. 7
Computed, not measured: a relaxed structure of BaPm3Pa2N6 at the PBE-GGA level of DFT.

Cell lengths 3.614, 7.289, 8.211 Å; angles 101.29, 102.71, 90.00 degrees
Element x y z (fractional)
1 N 0.323 0.881 0.645
2 N 0.677 0.119 0.355
3 Pm 0.500 0.500 0.000
4 Pm 0.829 0.159 0.658
5 N 0.969 0.703 0.937
6 N 0.031 0.297 0.063
7 Pm 0.171 0.841 0.342
8 N 0.674 0.571 0.348
9 Pa 0.831 0.662 0.662
10 Ba 0.500 0.000 0.000
11 N 0.326 0.429 0.652
12 Pa 0.169 0.338 0.338

Computed properties:
- calculated total energy (Ha/atom) = -0.311
- raw formation energy (eV/atom) = -1.357
- space group = No. 12

=====

No. 8
Computed, not measured: a relaxed structure of NaSbPd3 at the PBE-GGA level of DFT.

Cell lengths 4.654, 4.654, 4.654 Å; angles 90.00, 90.00, 90.00 degrees
Element x y z (fractional)
1 Pd 0.500 0.000 0.000
2 Sb 0.500 0.500 0.500
3 Na 0.000 0.000 0.000
4 Pd 0.000 0.000 0.500
5 Pd 0.000 0.500 0.000

Computed properties:
- energy above the lowest structure with this stoichiometry (meV per atom) = 927.9
- calculated total energy (Ha/atom) = -0.129
- raw formation energy (eV/atom) = 0.687
- space group = No. 221

=====

| no. | size of the total moment (μB/atom) |
| --- | --- |
| 1 | 0.0000 |
| 2 | 0.0000 |
| 3 | 0.0000 |
| 4 | 0.0000 |
| 5 | 0.0000 |
| 6 | 0.0680 |
| 7 | 0.0000 |
| 8 | 0.0000 |